1.
First-principles (PBE-GGA) data for an optimized crystal structure of BaCd12Au6, as listed in Alexandria.

Cell and atoms, written as CIF:
```
data_BaCd12Au6
_cell_length_a 12.6448
_cell_length_b 12.6448
_cell_length_c 9.7359
_cell_angle_alpha 90.00
_cell_angle_beta 90.00
_cell_angle_gamma 120.00
_symmetry_space_group_name_H-M 'R -3 m'
_symmetry_Int_Tables_number 166
_symmetry_space_group_name_Hall '-R 3 2"'
loop_
_atom_site_label
_atom_site_type_symbol
_atom_site_fract_x
_atom_site_fract_y
_atom_site_fract_z
_atom_site_occupancy
Ba1 Ba 0.0000 0.0000 0.0000 1
Cd1 Cd 0.0000 0.3857 0.5000 1
Cd2 Cd 0.0853 0.1705 0.3220 1
Au1 Au 0.0436 0.5218 0.2506 1
```

Summary:
* calculated total energy: -1.94 eV/atom

2.
First-principles (PBE-GGA) data for an optimized crystal structure of BaCdAu2, as listed in Alexandria.

Cell and atoms, written as CIF:
```
data_BaCdAu2
_cell_length_a 5.360
_cell_length_b 5.360
_cell_length_c 19.010
_cell_angle_alpha 90.00
_cell_angle_beta 90.00
_cell_angle_gamma 90.00
_symmetry_space_group_name_H-M 'I 41/a m d'
_symmetry_Int_Tables_number 141
loop_
_symmetry_equiv_pos_as_xyz
'x,y,z'
'-x,-y,-z'
'-y+1/4,x+3/4,z+1/4'
'y+1/4,-x+3/4,-z+1/4'
'-x+1/2,-y,z+1/2'
'x+1/2,y,-z+1/2'
'y+1/4,-x+1/4,z+3/4'
'-y+1/4,x+1/4,-z+3/4'
'x,-y,-z'
'-x,y,z'
'-y+1/4,-x+1/4,-z+3/4'
'y+1/4,x+1/4,z+3/4'
'-x+1/2,y,-z+1/2'
'x+1/2,-y,z+1/2'
'y+1/4,x+3/4,-z+1/4'
'-y+1/4,-x+3/4,z+1/4'
'x+1/2,y+1/2,z+1/2'
'-x+1/2,-y+1/2,-z+1/2'
'-y+3/4,x+1/4,z+3/4'
'y+3/4,-x+1/4,-z+3/4'
'-x,-y+1/2,z'
'x,y+1/2,-z'
'y+3/4,-x+3/4,z+1/4'
'-y+3/4,x+3/4,-z+1/4'
'x+1/2,-y+1/2,-z+1/2'
'-x+1/2,y+1/2,z+1/2'
'-y+3/4,-x+3/4,-z+1/4'
'y+3/4,x+3/4,z+1/4'
'-x,y+1/2,-z'
'x,-y+1/2,z'
'y+3/4,x+1/4,-z+3/4'
'-y+3/4,-x+1/4,z+3/4'
loop_
_atom_site_label
_atom_site_type_symbol
_atom_site_fract_x
_atom_site_fract_y
_atom_site_fract_z
_atom_site_occupancy
Ba1 Ba 0.000 0.250 0.375 1
Cd1 Cd 0.000 0.250 0.875 1
Au1 Au 0.000 0.000 0.000 1
```

Summary:
* calculated total energy: -2.73 eV/atom

3.
First-principles (PBE-GGA) data for an optimized crystal structure of Ba2Cd15Au2, as listed in Alexandria.

Cell and atoms, written as CIF:
```
data_Ba2Cd15Au2
_cell_length_a 10.3001
_cell_length_b 10.3001
_cell_length_c 15.2255
_cell_angle_alpha 90.00
_cell_angle_beta 90.00
_cell_angle_gamma 120.00
_symmetry_space_group_name_H-M 'R -3 m'
_symmetry_Int_Tables_number 166
_symmetry_space_group_name_Hall '-R 3 2"'
loop_
_atom_site_label
_atom_site_type_symbol
_atom_site_fract_x
_atom_site_fract_y
_atom_site_fract_z
_atom_site_occupancy
Ba1 Ba 0.0000 0.0000 0.1640 1
Cd1 Cd 0.0000 0.2880 0.5000 1
Cd2 Cd 0.0000 0.5000 0.0000 1
Cd3 Cd 0.0028 0.5014 0.6519 1
Au1 Au 0.0000 0.0000 0.3909 1
```

Summary:
* calculated total energy: -1.47 eV/atom

4.
First-principles (PBE-GGA) data for an optimized crystal structure of Ba2CdAu2, as listed in Alexandria.

Cell and atoms, written as CIF:
```
data_Ba2CdAu2
_cell_length_a 6.424
_cell_length_b 6.424
_cell_length_c 8.414
_cell_angle_alpha 90.00
_cell_angle_beta 90.00
_cell_angle_gamma 90.00
_symmetry_space_group_name_H-M 'I 4/m m m'
_symmetry_Int_Tables_number 139
_symmetry_space_group_name_Hall '-I 4 2'
loop_
_atom_site_label
_atom_site_type_symbol
_atom_site_fract_x
_atom_site_fract_y
_atom_site_fract_z
_atom_site_occupancy
Ba1 Ba 0.000 0.500 0.250 1
Cd1 Cd 0.000 0.000 0.000 1
Au1 Au 0.000 0.000 0.339 1
```

Summary:
* calculated total energy: -2.76 eV/atom

5.
First-principles (PBE-GGA) data for an optimized crystal structure of Ba8CdAu2, as listed in Alexandria.

Cell and atoms, written as CIF:
```
data_Ba8CdAu2
_cell_length_a 10.476
_cell_length_b 15.009
_cell_length_c 6.895
_cell_angle_alpha 90.00
_cell_angle_beta 104.49
_cell_angle_gamma 90.00
_symmetry_space_group_name_H-M 'C 1 m 1'
_symmetry_Int_Tables_number 8
_symmetry_space_group_name_Hall 'C -2y'
loop_
_atom_site_label
_atom_site_type_symbol
_atom_site_fract_x
_atom_site_fract_y
_atom_site_fract_z
_atom_site_occupancy
Ba1 Ba 0.000 0.000 0.000 1
Ba2 Ba 0.073 0.364 0.813 1
Ba3 Ba 0.177 0.133 0.609 1
Ba4 Ba 0.237 0.500 0.408 1
Ba5 Ba 0.378 0.237 0.213 1
Cd1 Cd 0.362 0.000 0.075 1
Au1 Au 0.373 0.315 0.704 1
```

Summary:
* calculated total energy: -2.35 eV/atom

6.
First-principles (PBE-GGA) data for an optimized crystal structure of Ba2Cd5Au4, as listed in Alexandria.

Cell and atoms, written as CIF:
```
data_Ba2Cd5Au4
_cell_length_a 6.069
_cell_length_b 9.525
_cell_length_c 10.179
_cell_angle_alpha 90.00
_cell_angle_beta 90.00
_cell_angle_gamma 90.00
_symmetry_space_group_name_H-M 'I m m m'
_symmetry_Int_Tables_number 71
_symmetry_space_group_name_Hall '-I 2 2'
loop_
_atom_site_label
_atom_site_type_symbol
_atom_site_fract_x
_atom_site_fract_y
_atom_site_fract_z
_atom_site_occupancy
Ba1 Ba 0.000 0.244 0.000 1
Cd1 Cd 0.000 0.500 0.500 1
Cd2 Cd 0.245 0.000 0.268 1
Au1 Au 0.000 0.252 0.336 1
```

Summary:
* calculated total energy: -2.34 eV/atom

7.
First-principles (PBE-GGA) data for an optimized crystal structure of BaCdAu2, as listed in Alexandria.

Cell and atoms, written as CIF:
```
data_BaCdAu2
_cell_length_a 6.425
_cell_length_b 8.828
_cell_length_c 4.348
_cell_angle_alpha 90.00
_cell_angle_beta 90.00
_cell_angle_gamma 90.00
_symmetry_space_group_name_H-M 'C m m m'
_symmetry_Int_Tables_number 65
_symmetry_space_group_name_Hall '-C 2 2'
loop_
_atom_site_label
_atom_site_type_symbol
_atom_site_fract_x
_atom_site_fract_y
_atom_site_fract_z
_atom_site_occupancy
Ba1 Ba 0.000 0.000 0.000 1
Cd1 Cd 0.000 0.500 0.500 1
Au1 Au 0.250 0.250 0.500 1
```

Summary:
* calculated total energy: -2.79 eV/atom

8.
First-principles (PBE-GGA) data for an optimized crystal structure of BaCdAu10, as listed in Alexandria.

Cell and atoms, written as CIF:
```
data_BaCdAu10
_cell_length_a 4.723
_cell_length_b 5.646
_cell_length_c 9.863
_cell_angle_alpha 90.00
_cell_angle_beta 90.00
_cell_angle_gamma 90.00
_symmetry_space_group_name_H-M 'P m m m'
_symmetry_Int_Tables_number 47
_symmetry_space_group_name_Hall '-P 2 2'
loop_
_atom_site_label
_atom_site_type_symbol
_atom_site_fract_x
_atom_site_fract_y
_atom_site_fract_z
_atom_site_occupancy
Ba1 Ba 0.000 0.000 0.000 1
Cd1 Cd 0.000 0.500 0.500 1
Au1 Au 0.000 0.000 0.348 1
Au2 Au 0.000 0.500 0.201 1
Au3 Au 0.500 0.000 0.500 1
Au4 Au 0.500 0.245 0.247 1
Au5 Au 0.500 0.500 0.000 1
```

Summary:
* calculated total energy: -3.20 eV/atom

DFT formation energy list, top to bottom, in kJ per mole of atoms: -21 -37 -20 -48 -26 -37 -43 -22